# AcY2Th

A relaxed structure of AcY2Th (PBE, Alexandria via LeMat-Bulk).

a = 3.687 Å, b = 3.687 Å, c = 23.752 Å
α = 90.00°, β = 90.00°, γ = 120.00°
Sites, in units of the cell vectors:
Ac: 0.333 0.667 0.250
Ac: 0.667 0.333 0.750
Y: 0.333 0.667 0.618
Y: 0.333 0.667 0.882
Y: 0.667 0.333 0.118
Y: 0.667 0.333 0.382
Th: 0.000 0.000 0.000
Th: 0.000 0.000 0.500

Values from the calculation:
Total magnetic moment = 0.00 μB/f.u.
Formation energy = 1.44 kcal/mol of atoms

# AcY2Th

A relaxed structure of AcY2Th (PBE, Alexandria via LeMat-Bulk).

a = 3.704 Å, b = 3.704 Å, c = 10.236 Å
α = 90.00°, β = 90.00°, γ = 90.00°
Sites, in units of the cell vectors:
Ac: 0.000 0.000 0.000
Y: 0.500 0.500 0.270
Y: 0.500 0.500 0.730
Th: 0.000 0.000 0.500

Values from the calculation:
Total magnetic moment = 0.00 μB/f.u.
Formation energy = 0.89 kcal/mol of atoms

total magnetic moment of number 2 (AcY2Th)? 0.00 μB/f.u.